Entry from the Alexandria database: a geometry-optimized ReOsO2 structure (PBE-GGA).

The structure in POSCAR format:
```
ReOsO2
1.0
1.3595 0.7849 6.8834
-1.3595 0.7849 6.8834
0.0000 -1.5699 6.8834
Re Os O
1 1 2
direct
0.0000 0.0000 0.0000
0.5000 0.5000 0.5000
0.4016 0.4016 0.4016
0.5984 0.5984 0.5984
```

Results
SG   R-3m (166)
ρ   15.39 g cm⁻³
Offset from the most stable computed form   0.000 eV per atom
Total magnetization   0.000 μB per cell